VASP calculation (PBE) on crystalline CaAc2NbN4 at its relaxed geometry.

## Properties
ρ: 6.95 g/cm3
raw formation energy: -887.3 meV/atom

Unit cell a=3.627 b=12.620 c=13.425 alpha=90.00 beta=90.00 gamma=90.00
Space group Cmcm (No. 63)
Asymmetric unit:
Ca 0.000 0.113 0.250 x4
Ac 0.000 0.366 0.033 x8
Nb 0.000 0.173 0.750 x4
N 0.000 0.000 0.000 x4
N 0.000 0.272 0.641 x8
N 0.000 0.409 0.250 x4


VASP calculation (PBE) on crystalline Ca2Ac3NbN6 at its relaxed geometry.

## Properties
ρ: 7.66 g/cm3
raw formation energy: -966.3 meV/atom

Unit cell a=6.314 b=10.939 c=6.229 alpha=90.00 beta=108.94 gamma=90.00
Space group C2/m (No. 12)
Asymmetric unit:
Ca 0.000 0.166 0.000 x4
Ac 0.000 0.000 0.500 x2
Ac 0.000 0.333 0.500 x4
Nb 0.000 0.500 0.000 x2
N 0.213 0.358 0.215 x8
N 0.221 0.500 0.762 x4


VASP calculation (PBE) on crystalline CaAcNbN3 at its relaxed geometry.

## Properties
ρ: 7.07 g/cm3
raw formation energy: -1085.0 meV/atom

Unit cell a=6.100 b=3.601 c=8.789 alpha=90.00 beta=102.19 gamma=90.00
Space group P2_1/m (No. 11)
Asymmetric unit:
Ca 0.234 0.250 0.453 x2
Ac 0.358 0.750 0.807 x2
Nb 0.132 0.750 0.142 x2
N 0.041 0.250 0.687 x2
N 0.211 0.250 0.041 x2
N 0.430 0.750 0.312 x2


VASP calculation (PBE) on crystalline CaAc2Nd3N6 at its relaxed geometry.

## Properties
ρ: 7.64 g/cm3
raw formation energy: -1087.3 meV/atom

Unit cell a=16.273 b=3.723 c=7.464 alpha=90.00 beta=103.68 gamma=90.00
Space group C2/m (No. 12)
Asymmetric unit:
Ca 0.000 0.000 0.000 x2
Ac 0.163 0.500 0.324 x4
Nd 0.000 0.000 0.500 x2
Nd 0.162 0.500 0.836 x4
N 0.003 0.500 0.741 x4
N 0.164 0.000 0.591 x4
N 0.171 0.000 0.077 x4